# CoTcSeN2

An optimized crystal structure of CoTcSeN2 (PBE-GGA, Alexandria via LeMat-Bulk).

Results
Energy relative to the elements, uncorrected in eV/atom: 1.279
Spin magnetization in μB per formula unit: 0.30
Energy above the most stable polymorph in this dataset in eV per atom: 0.489
Crystal system: tetragonal

abc: 3.668 3.668 4.967
angles: 90.00 90.00 90.00
Sites, in units of the cell vectors:
Co: 0.000 0.000 0.000
Tc: 0.500 0.500 0.500
Se: 0.000 0.000 0.500
N: 0.000 0.500 0.000
N: 0.500 0.000 0.000

---

# CoTcSe2N

An optimized crystal structure of CoTcSe2N (PBE-GGA, Alexandria via LeMat-Bulk).

Results
Energy relative to the elements, uncorrected in eV/atom: 0.671
Spin magnetization in μB per formula unit: 2.15
Crystal system: tetragonal

abc: 5.034 5.034 3.677
angles: 90.00 90.00 90.00
Sites, in units of the cell vectors:
Co: 0.000 0.000 0.000
Tc: 0.500 0.500 0.500
Se: 0.000 0.500 0.500
Se: 0.500 0.000 0.500
N: 0.500 0.500 0.000

---

# CoTcSeN2

An optimized crystal structure of CoTcSeN2 (PBE-GGA, Alexandria via LeMat-Bulk).

Results
Energy relative to the elements, uncorrected in eV/atom: 0.790
Spin magnetization in μB per formula unit: 2.05
Energy above the most stable polymorph in this dataset in eV per atom: 0.000
Crystal system: tetragonal

abc: 3.772 3.772 5.476
angles: 90.00 90.00 90.00
Sites, in units of the cell vectors:
Co: 0.000 0.000 0.000
Tc: 0.500 0.500 0.500
Se: 0.500 0.500 0.000
N: 0.000 0.500 0.500
N: 0.500 0.000 0.500

---

# CoTcSe2N

An optimized crystal structure of CoTcSe2N (PBE-GGA, Alexandria via LeMat-Bulk).

Results
Energy relative to the elements, uncorrected in eV/atom: 0.670
Spin magnetization in μB per formula unit: 2.18
Crystal system: tetragonal

abc: 4.869 4.869 3.334
angles: 90.00 90.00 90.00
Sites, in units of the cell vectors:
Co: 0.000 0.000 0.000
Tc: 0.500 0.500 0.500
Se: 0.000 0.500 0.000
Se: 0.500 0.000 0.000
N: 0.000 0.000 0.500

---

# Th3CoSeN

An optimized crystal structure of Th3CoSeN (PBE-GGA, Alexandria via LeMat-Bulk).

Results
Energy relative to the elements, uncorrected in eV/atom: -1.069
Spin magnetization in μB per formula unit: 0.00
Crystal system: monoclinic

abc: 8.491 3.955 8.988
angles: 90.00 99.79 90.00
Sites, in units of the cell vectors:
Th: 0.042 0.250 0.333
Th: 0.314 0.250 0.978
Th: 0.382 0.750 0.635
Th: 0.618 0.250 0.365
Th: 0.686 0.750 0.022
Th: 0.958 0.750 0.667
Co: 0.170 0.250 0.642
Co: 0.830 0.750 0.358
Se: 0.309 0.750 0.262
Se: 0.691 0.250 0.738
N: 0.420 0.750 0.900
N: 0.580 0.250 0.100

---

# TiCoSe2N

An optimized crystal structure of TiCoSe2N (PBE-GGA, Alexandria via LeMat-Bulk).

Results
Energy relative to the elements, uncorrected in eV/atom: 0.327
Spin magnetization in μB per formula unit: 1.99
Energy above the most stable polymorph in this dataset in eV per atom: 0.201
Crystal system: tetragonal

abc: 5.067 5.067 3.717
angles: 90.00 90.00 90.00
Sites, in units of the cell vectors:
Ti: 0.000 0.000 0.000
Co: 0.500 0.500 0.500
Se: 0.000 0.500 0.000
Se: 0.500 0.000 0.000
N: 0.000 0.000 0.500

---

# TiCoSe2N

An optimized crystal structure of TiCoSe2N (PBE-GGA, Alexandria via LeMat-Bulk).

Results
Energy relative to the elements, uncorrected in eV/atom: 0.126
Spin magnetization in μB per formula unit: 0.31
Energy above the most stable polymorph in this dataset in eV per atom: 0.000
Crystal system: tetragonal

abc: 4.864 4.864 3.395
angles: 90.00 90.00 90.00
Sites, in units of the cell vectors:
Ti: 0.000 0.000 0.000
Co: 0.500 0.500 0.500
Se: 0.000 0.500 0.500
Se: 0.500 0.000 0.500
N: 0.500 0.500 0.000

---

# TlCoSeN2

An optimized crystal structure of TlCoSeN2 (PBE-GGA, Alexandria via LeMat-Bulk).

Results
Energy relative to the elements, uncorrected in eV/atom: 2.121
Spin magnetization in μB per formula unit: 5.45
Energy above the most stable polymorph in this dataset in eV per atom: 1.105
Crystal system: tetragonal

abc: 4.189 4.189 5.986
angles: 90.00 90.00 90.00
Sites, in units of the cell vectors:
Tl: 0.000 0.000 0.000
Co: 0.500 0.500 0.500
Se: 0.000 0.000 0.500
N: 0.000 0.500 0.000
N: 0.500 0.000 0.000

---

# TlCoSeN2

An optimized crystal structure of TlCoSeN2 (PBE-GGA, Alexandria via LeMat-Bulk).

Results
Energy relative to the elements, uncorrected in eV/atom: 1.016
Spin magnetization in μB per formula unit: 3.62
Energy above the most stable polymorph in this dataset in eV per atom: 0.000
Crystal system: tetragonal

abc: 3.872 3.872 5.176
angles: 90.00 90.00 90.00
Sites, in units of the cell vectors:
Tl: 0.000 0.000 0.000
Co: 0.500 0.500 0.500
Se: 0.500 0.500 0.000
N: 0.000 0.500 0.500
N: 0.500 0.000 0.500

---

# CoWSe2N

An optimized crystal structure of CoWSe2N (PBE-GGA, Alexandria via LeMat-Bulk).

Results
Energy relative to the elements, uncorrected in eV/atom: 0.622
Spin magnetization in μB per formula unit: 2.50
Energy above the most stable polymorph in this dataset in eV per atom: 0.000
Crystal system: tetragonal

abc: 5.056 5.056 3.787
angles: 90.00 90.00 90.00
Sites, in units of the cell vectors:
Co: 0.000 0.000 0.000
W: 0.500 0.500 0.500
Se: 0.000 0.500 0.500
Se: 0.500 0.000 0.500
N: 0.500 0.500 0.000

---

# CoWSeN2

An optimized crystal structure of CoWSeN2 (PBE-GGA, Alexandria via LeMat-Bulk).

Results
Energy relative to the elements, uncorrected in eV/atom: 1.495
Spin magnetization in μB per formula unit: 0.00
Energy above the most stable polymorph in this dataset in eV per atom: 0.869
Crystal system: tetragonal

abc: 3.684 3.684 4.650
angles: 90.00 90.00 90.00
Sites, in units of the cell vectors:
Co: 0.000 0.000 0.000
W: 0.500 0.500 0.500
Se: 0.000 0.000 0.500
N: 0.000 0.500 0.000
N: 0.500 0.000 0.000

---

# CoWSe2N

An optimized crystal structure of CoWSe2N (PBE-GGA, Alexandria via LeMat-Bulk).

Results
Energy relative to the elements, uncorrected in eV/atom: 0.816
Spin magnetization in μB per formula unit: 2.21
Energy above the most stable polymorph in this dataset in eV per atom: 0.193
Crystal system: tetragonal

abc: 4.867 4.867 3.344
angles: 90.00 90.00 90.00
Sites, in units of the cell vectors:
Co: 0.000 0.000 0.000
W: 0.500 0.500 0.500
Se: 0.000 0.500 0.000
Se: 0.500 0.000 0.000
N: 0.000 0.000 0.500

---

- The highest energy relative to the elements, uncorrected belongs to which entry?
  number 8

---

- Which of these has the highest energy relative to the elements, uncorrected?
  number 8